## Zr2Zn2Ge (GGA-PBE)

Data for crystalline Zr2Zn2Ge at its relaxed geometry.

a b c (Å): 7.0780 7.0780 4.0977
angles (deg): 90.00 90.00 90.00
Last column: nearest neighbours and their distance in Å.
Positions (direct):
1 Zn 0.8606 0.3606 0.5000  1 Zn 2.79, 6 Zr 2.88-2.94
2 Zr 0.3415 0.8415 0.0000  2 Ge 2.66, 6 Zn 2.88-2.94
3 Ge 0.0000 0.0000 0.0000  4 Zr 2.66
4 Zn 0.6394 0.8606 0.5000  1 Zn 2.79, 6 Zr 2.88-2.94
5 Zr 0.8415 0.6585 0.0000  2 Ge 2.66, 6 Zn 2.88-2.94
6 Zn 0.3606 0.1394 0.5000  1 Zn 2.79, 6 Zr 2.88-2.94
7 Zr 0.6585 0.1585 0.0000  2 Ge 2.66, 6 Zn 2.88-2.94
8 Zn 0.1394 0.6394 0.5000  1 Zn 2.79, 6 Zr 2.88-2.94
9 Ge 0.5000 0.5000 0.0000  4 Zr 2.66
10 Zr 0.1585 0.3415 0.0000  2 Ge 2.66, 6 Zn 2.88-2.94

Calculated values
E above lowest polymorph ... 192 meV/atom
E_form ... -0.57 eV per formula unit
Crystal system ... tetragonal
Symmetry ... No. 127

=====

## ZrZnGe3 (GGA-PBE)

Data for crystalline ZrZnGe3 at its relaxed geometry.

a b c (Å): 4.7601 4.7601 4.7601
angles (deg): 90.00 90.00 90.00
Last column: nearest neighbours and their distance in Å.
Positions (direct):
1 Zn 0.0000 0.0000 0.0000  6 Ge 2.38
2 Ge 0.5000 0.0000 0.0000  2 Zn 2.38
3 Ge 0.0000 0.0000 0.5000  2 Zn 2.38
4 Ge 0.0000 0.5000 0.0000  2 Zn 2.38
5 Zr 0.5000 0.5000 0.5000  12 Ge 3.37

Calculated values
E above lowest polymorph ... 25 meV/atom
E_form ... 2.86 eV per formula unit
Crystal system ... cubic
Symmetry ... No. 221

=====

## Zr2Zn2Ge (GGA-PBE)

Data for crystalline Zr2Zn2Ge at its relaxed geometry.

a b c (Å): 4.3611 4.3611 6.4034
angles (deg): 70.09 70.09 90.00
Last column: nearest neighbours and their distance in Å.
Positions (direct):
1 Zr 0.2500 0.7500 0.5000  4 Zn 2.75
2 Zn 0.6014 0.6014 0.7972  1 Zn 2.28
3 Zn 0.3986 0.3986 0.2028  1 Zn 2.28
4 Ge 0.0000 0.0000 0.0000  8 Zn 3.29, 8 Zr 3.55
5 Zr 0.7500 0.2500 0.5000  4 Zn 2.75

Calculated values
E above lowest polymorph ... 583 meV/atom
E_form ... 1.38 eV per formula unit
Crystal system ... tetragonal
Symmetry ... No. 139